[1]
Entry from Alexandria via LeMat-Bulk: SrLiMg3 at its PBEsol-relaxed geometry (meta-GGA SCAN).

Lattice parameters (Å, degrees): 5.1253 5.1253 5.1253 90.00 90.00 90.00
Closest atoms and distances in Å follow each position.
Fractional coordinates of all 5 atoms:
Sr1 0.0000 0.0000 0.0000  12 Mg 3.62
Li1 0.5000 0.5000 0.5000  6 Mg 2.56
Mg1 0.0000 0.5000 0.5000  2 Li 2.56
Mg2 0.5000 0.0000 0.5000  2 Li 2.56
Mg3 0.5000 0.5000 0.0000  2 Li 2.56

ΔH_f (0 K) = 0.09 eV/atom
crystal system = cubic

[2]
Entry from Alexandria via LeMat-Bulk: La2IrS2 at its PBEsol-relaxed geometry (meta-GGA SCAN).

Lattice parameters (Å, degrees): 5.5176 5.5176 5.5176 119.19 119.19 91.40
Closest atoms and distances in Å follow each position.
Fractional coordinates of all 5 atoms:
La1 0.2500 0.7500 0.5000  4 S 2.82
La2 0.7500 0.2500 0.5000  4 S 2.82
Ir1 0.0000 0.0000 0.0000  2 S 2.31
S1 0.2991 0.2991 0.0000  1 Ir 2.31
S2 0.7009 0.7009 0.0000  1 Ir 2.31

formation energy from raw total energies = -1.525 eV/atom
crystal system = tetragonal